# 1
A geometry-optimized RhSeF2 structure. Source: the Alexandria database, functional PBE-GGA.

Cell lengths 9.5598, 9.5598, 9.5598 Å; angles 16.70, 16.70, 16.70 degrees
Element x y z (fractional)
Rh: 0.0000 0.0000 0.0000
Se: 0.5000 0.5000 0.5000
F: 0.9330 0.9330 0.9330
F: 0.0670 0.0670 0.0670

Results
Formation energy from raw total energies = -564.8 meV per atom
Symmetry = No. 166
Fermi-level density of states = 3.61 states/eV/f.u.
Energy relative to the lowest polymorph listed for this composition = 0.0 meV/atom
Crystal system = trigonal
Electronic total energy = -4.210 eV/atom
Theoretical density = 5799 kg/m3

***

# 2
A geometry-optimized Tb3Bi2Pb structure. Source: the Alexandria database, functional PBE-GGA.

Cell lengths 4.4081, 6.3507, 7.8451 Å; angles 113.88, 106.32, 90.00 degrees
Element x y z (fractional)
Tb: 0.3322 0.3322 0.6644
Tb: 0.0000 0.0000 0.0000
Tb: 0.6678 0.6678 0.3356
Bi: 0.6672 0.1672 0.3343
Bi: 0.3328 0.8328 0.6657
Pb: 0.0000 0.5000 0.0000

Results
Symmetry = No. 71
Fermi-level density of states = 2.70 states/eV/f.u.
Energy relative to the lowest polymorph listed for this composition = 0.0 meV/atom
Crystal system = orthorhombic
Electronic total energy = -4.930 eV/atom
Theoretical density = 9575 kg/m3
Energy relative to the elements = -703 meV per atom

***

# 3
A geometry-optimized LaPmTe2 structure. Source: the Alexandria database, functional PBE-GGA.

Cell lengths 4.4600, 4.4600, 10.2421 Å; angles 77.42, 77.42, 60.00 degrees
Element x y z (fractional)
La: 0.5000 0.5000 0.5000
Te: 0.1028 0.1028 0.6915
Te: 0.8972 0.8972 0.3085
Pm: 0.0000 0.0000 0.0000

Results
Formation energy from raw total energies = -974.4 meV per atom
Symmetry = No. 166
Fermi-level density of states = 2.33 states/eV/f.u.
Energy relative to the lowest polymorph listed for this composition = 531.7 meV/atom
Crystal system = trigonal
Electronic total energy = -4.965 eV/atom
Theoretical density = 5242 kg/m3

***

# 4
A geometry-optimized Cd2TcSe structure. Source: the Alexandria database, functional PBE-GGA.

Cell lengths 3.1924, 4.4027, 6.5914 Å; angles 70.55, 90.00, 90.00 degrees
Element x y z (fractional)
Cd: 0.0000 0.9721 0.9308
Cd: 0.5000 0.3120 0.2511
Se: 0.0000 0.6818 0.5114
Tc: 0.5000 0.5340 0.8066

Results
Formation energy from raw total energies = 139.0 meV per atom
Symmetry = No. 6
Fermi-level density of states = 3.05 states/eV/f.u.
Crystal system = monoclinic
Electronic total energy = -3.781 eV/atom
Theoretical density = 7637 kg/m3

***

- Among the records above, which one has the lowest electronic total energy?
  LaPmTe2